The following is a PBE calculation of a geometry-optimized BaNi5P4 structure, from Alexandria.

Calculated values
Fermi-level density of states, states/eV per cell: 10.790
Calculated volume, Å³/cell: 329.9
DFT formation energy, eV per atom: -0.100

Unit cell a=4.9986 b=8.1244 c=8.1244 alpha=90.00 beta=90.00 gamma=90.00
Positions (direct):
Ni (0.7397, 0.7564, 0.7436)
Ni (0.3049, 0.5000, 0.0000)
Ni (0.7397, 0.2436, 0.7436)
Ni (0.6951, 0.0000, 0.5000)
Ni (0.7397, 0.2436, 0.2564)
Ni (0.7397, 0.7564, 0.2564)
Ni (0.2603, 0.2564, 0.2436)
Ni (0.2603, 0.2564, 0.7564)
Ni (0.2603, 0.7436, 0.7564)
Ni (0.2603, 0.7436, 0.2436)
P (0.5299, 0.5000, 0.2343)
P (0.4701, 0.0000, 0.7343)
P (0.4701, 0.2343, 0.5000)
P (0.5299, 0.5000, 0.7657)
P (0.5299, 0.7343, 0.0000)
P (0.4701, 0.0000, 0.2657)
P (0.5299, 0.2657, 0.0000)
P (0.4701, 0.7657, 0.5000)
Ba (0.0000, 0.5000, 0.5000)
Ba (0.0000, 0.0000, 0.0000)